No. 1
Entry from Alexandria via LeMat-Bulk: PmUTc2 after structural relaxation (GGA-PBE).

Geometry as POSCAR:
```
PmUTc2
1.0
-3.001 1.472 -0.452
-2.472 -1.662 -1.583
-4.486 -3.203 6.775
Tc U Pm
2 1 1
direct
0.734 0.734 0.797
0.266 0.266 0.203
0.000 0.000 0.000
0.500 0.500 0.500
```

Calculated values
Its volume is 20.98 Å³/atom. As for the density of states at the Fermi level: 4.3 states/eV/cell.

***

No. 2
Entry from Alexandria via LeMat-Bulk: Pm2UTc2 after structural relaxation (GGA-PBE).

Geometry as POSCAR:
```
Pm2UTc2
1.0
6.327 0.146 0.894
2.910 5.621 0.894
0.190 0.119 6.914
Tc Pm U
4 4 2
direct
0.718 0.989 0.515
0.282 0.011 0.485
0.989 0.718 0.015
0.011 0.282 0.985
0.466 0.239 0.130
0.761 0.534 0.370
0.239 0.466 0.630
0.534 0.761 0.870
0.038 0.962 0.250
0.962 0.038 0.750
```

Calculated values
Its volume is 24.17 Å³/atom. As for the density of states at the Fermi level: 7.9 states/eV/cell.

***

No. 3
Entry from Alexandria via LeMat-Bulk: PmU2Tc2 after structural relaxation (GGA-PBE).

Geometry as POSCAR:
```
PmU2Tc2
1.0
6.260 5.353 2.970
0.011 6.725 2.978
3.399 -1.000 5.327
Tc U Pm
4 4 2
direct
0.214 0.786 0.214
0.036 0.464 0.036
0.786 0.214 0.786
0.464 0.036 0.464
0.905 0.905 0.095
0.345 0.345 0.155
0.155 0.155 0.345
0.095 0.095 0.905
0.500 0.500 0.500
0.750 0.750 0.750
```

Calculated values
Its volume is 22.88 Å³/atom. As for the density of states at the Fermi level: 19.1 states/eV/cell.

***

No. 4
Entry from Alexandria via LeMat-Bulk: PmUTc2 after structural relaxation (GGA-PBE).

Geometry as POSCAR:
```
PmUTc2
1.0
-0.351 2.470 2.254
-3.310 0.062 -0.583
-1.012 -4.915 5.230
U Tc Pm
1 2 1
direct
0.500 0.500 0.000
0.000 0.000 0.802
0.000 0.000 0.198
0.500 0.500 0.500
```

Calculated values
Its volume is 20.48 Å³/atom. As for the density of states at the Fermi level: 3.2 states/eV/cell.

***

No. 5
Entry from Alexandria via LeMat-Bulk: Pm3U2Tc4 after structural relaxation (GGA-PBE).

Geometry as POSCAR:
```
Pm3U2Tc4
1.0
-0.831 3.009 2.899
-4.373 -0.197 -4.179
-2.715 -6.301 5.764
U Tc Pm
2 4 3
direct
0.673 0.346 0.777
0.327 0.654 0.223
0.090 0.179 0.640
0.731 0.461 0.096
0.269 0.539 0.904
0.910 0.821 0.360
0.375 0.750 0.617
0.625 0.250 0.383
0.000 0.000 0.000
```

Calculated values
Its volume is 23.46 Å³/atom. As for the density of states at the Fermi level: 7.4 states/eV/cell.

***

No. 6
Entry from Alexandria via LeMat-Bulk: PmUTc after structural relaxation (GGA-PBE).

Geometry as POSCAR:
```
PmUTc
1.0
-0.377 2.009 -2.811
-3.402 0.275 0.653
2.867 3.459 4.236
U Tc Pm
1 1 1
direct
0.299 0.299 0.597
0.703 0.703 0.407
0.998 0.998 0.996
```

Calculated values
Its volume is 22.81 Å³/atom. As for the density of states at the Fermi level: 4.7 states/eV/cell.

***

No. 7
Entry from Alexandria via LeMat-Bulk: PmV2Tc after structural relaxation (GGA-PBE).

Geometry as POSCAR:
```
PmV2Tc
1.0
4.192 0.000 0.000
2.096 3.630 0.000
2.096 1.210 5.367
V Pm Tc
2 1 1
direct
0.199 0.199 0.404
0.801 0.801 0.596
0.000 0.000 0.000
0.500 0.500 0.500
```

Calculated values
Its volume is 20.42 Å³/atom. As for the density of states at the Fermi level: 2.4 states/eV/cell.

***

No. 8
Entry from Alexandria via LeMat-Bulk: PmVTc after structural relaxation (GGA-PBE).

Geometry as POSCAR:
```
PmVTc
1.0
6.088 0.000 0.000
3.044 5.273 0.000
3.044 1.758 5.973
Pm V Tc
3 3 3
direct
0.452 0.073 0.728
0.073 0.748 0.728
0.748 0.452 0.728
0.649 0.951 0.228
0.172 0.649 0.228
0.951 0.172 0.228
0.591 0.591 0.226
0.328 0.328 0.016
0.185 0.185 0.446
```

Calculated values
Its volume is 21.30 Å³/atom. As for the density of states at the Fermi level: 10.5 states/eV/cell.

***

No. 9
Entry from Alexandria via LeMat-Bulk: PmVTc2 after structural relaxation (GGA-PBE).

Geometry as POSCAR:
```
PmVTc2
1.0
3.025 0.000 0.000
1.513 2.620 0.000
1.513 0.873 8.874
Pm V Tc
1 1 2
direct
0.500 0.500 0.500
0.000 0.000 0.000
0.735 0.735 0.794
0.265 0.265 0.206
```

Calculated values
Its volume is 17.58 Å³/atom. As for the density of states at the Fermi level: 4.6 states/eV/cell.

***

No. 10
Entry from Alexandria via LeMat-Bulk: PmTc2W after structural relaxation (GGA-PBE).

Geometry as POSCAR:
```
PmTc2W
1.0
-0.685 1.451 2.827
0.585 -4.077 2.235
4.544 0.980 0.598
Tc Pm W
2 1 1
direct
0.000 0.500 0.000
0.000 0.000 0.500
0.500 0.500 0.500
0.500 0.000 0.000
```

Calculated values
Its volume is 17.85 Å³/atom. As for the density of states at the Fermi level: 4.2 states/eV/cell.

***

No. 11
Entry from Alexandria via LeMat-Bulk: PmTc2W after structural relaxation (GGA-PBE).

Geometry as POSCAR:
```
PmTc2W
1.0
3.205 0.000 0.000
0.000 3.205 0.000
0.000 0.000 7.122
Tc W Pm
2 1 1
direct
0.000 0.000 0.793
0.000 0.000 0.207
0.500 0.500 0.000
0.500 0.500 0.500
```

Calculated values
Its volume is 18.29 Å³/atom. As for the density of states at the Fermi level: 4.2 states/eV/cell.

***

No. 12
Entry from Alexandria via LeMat-Bulk: PmTcW after structural relaxation (GGA-PBE).

Geometry as POSCAR:
```
PmTcW
1.0
5.456 -0.130 -0.102
1.570 7.003 0.124
1.566 1.555 6.830
Pm W Tc
4 4 4
direct
0.758 0.341 0.091
0.242 0.659 0.909
0.242 0.159 0.409
0.758 0.841 0.591
0.644 0.356 0.606
0.356 0.644 0.394
0.356 0.144 0.894
0.644 0.856 0.106
0.098 0.424 0.674
0.902 0.076 0.826
0.902 0.576 0.326
0.098 0.924 0.174
```

Calculated values
Its volume is 21.84 Å³/atom. As for the density of states at the Fermi level: 9.2 states/eV/cell.

***

No. 13
Entry from Alexandria via LeMat-Bulk: Pm2Tc3W after structural relaxation (GGA-PBE).

Geometry as POSCAR:
```
Pm2Tc3W
1.0
-3.570 -0.812 4.246
-1.895 0.103 -5.275
3.622 -3.776 -1.364
Pm W Tc
2 1 3
direct
0.250 0.625 0.874
0.750 0.375 0.126
0.000 0.000 0.000
0.000 0.000 0.500
0.500 0.500 0.500
0.500 0.000 0.500
```

Calculated values
Its volume is 19.67 Å³/atom. As for the density of states at the Fermi level: 6.4 states/eV/cell.

***

No. 14
Entry from Alexandria via LeMat-Bulk: PmY4Tc after structural relaxation (GGA-PBE).

Geometry as POSCAR:
```
PmY4Tc
1.0
-5.599 2.624 1.036
-0.543 -6.315 -7.047
1.687 -2.791 7.266
Y Pm Tc
8 2 2
direct
0.616 0.064 0.334
0.958 0.830 0.186
0.384 0.936 0.666
0.272 0.645 0.814
0.042 0.170 0.814
0.218 0.270 0.334
0.728 0.355 0.186
0.782 0.730 0.666
0.358 0.608 0.217
0.642 0.392 0.783
0.247 0.997 0.994
0.753 0.003 0.006
```

Calculated values
Its volume is 29.90 Å³/atom. As for the density of states at the Fermi level: 14.4 states/eV/cell.

***

No. 15
Entry from Alexandria via LeMat-Bulk: Pm3YTc after structural relaxation (GGA-PBE).

Geometry as POSCAR:
```
Pm3YTc
1.0
-1.420 5.032 3.721
5.055 -3.829 8.432
10.092 2.446 1.869
Tc Pm Y
4 12 4
direct
0.201 0.719 0.411
0.799 0.281 0.589
0.299 0.589 0.281
0.701 0.411 0.719
0.965 0.708 0.639
0.153 0.997 0.728
0.653 0.728 0.997
0.535 0.361 0.292
0.465 0.639 0.708
0.035 0.292 0.361
0.839 0.391 0.974
0.847 0.003 0.272
0.339 0.974 0.391
0.161 0.609 0.026
0.347 0.272 0.003
0.661 0.026 0.609
0.250 0.903 0.097
0.750 0.097 0.903
0.750 0.619 0.381
0.250 0.381 0.619
```

Calculated values
Its volume is 30.49 Å³/atom. As for the density of states at the Fermi level: 24.6 states/eV/cell.

***

No. 16
Entry from Alexandria via LeMat-Bulk: PmY3Tc after structural relaxation (GGA-PBE).

Geometry as POSCAR:
```
PmY3Tc
1.0
3.900 0.000 0.641
1.854 6.053 0.907
0.003 -0.012 12.168
Pm Y Tc
2 6 2
direct
0.111 0.488 0.290
0.226 0.543 0.005
0.759 0.723 0.759
0.983 0.131 0.902
0.427 0.621 0.526
0.101 0.176 0.622
0.452 0.949 0.148
0.788 0.040 0.385
0.787 0.278 0.148
0.426 0.390 0.758
```

Calculated values
Its volume is 28.73 Å³/atom. As for the density of states at the Fermi level: 10.7 states/eV/cell.

***

No. 17
Entry from Alexandria via LeMat-Bulk: PmYZnTc after structural relaxation (GGA-PBE).

Geometry as POSCAR:
```
PmYZnTc
1.0
-3.147 -0.417 -3.859
-3.720 -3.333 0.158
-4.728 1.552 0.453
Pm Tc Zn Y
1 1 1 1
direct
0.000 0.000 0.000
0.250 0.250 0.250
0.750 0.750 0.750
0.500 0.500 0.500
```

Calculated values
Its volume is 22.06 Å³/atom. As for the density of states at the Fermi level: 1.9 states/eV/cell.

***

No. 18
Entry from Alexandria via LeMat-Bulk: PmZnTc after structural relaxation (GGA-PBE).

Geometry as POSCAR:
```
PmZnTc
1.0
0.472 -4.209 6.066
-2.008 -1.826 -6.883
6.986 1.630 -1.038
Pm Zn Tc
4 4 4
direct
0.983 0.483 0.500
0.517 0.017 0.500
0.733 0.733 0.000
0.267 0.267 0.000
0.981 0.481 0.962
0.519 0.019 0.038
0.269 0.269 0.538
0.731 0.731 0.462
0.125 0.875 0.750
0.125 0.875 0.250
0.125 0.375 0.250
0.625 0.875 0.750
```

Calculated values
Its volume is 22.91 Å³/atom. As for the density of states at the Fermi level: 5.3 states/eV/cell.

***

No. 19
Entry from Alexandria via LeMat-Bulk: PmZnTc after structural relaxation (GGA-PBE).

Geometry as POSCAR:
```
PmZnTc
1.0
-0.646 3.710 -0.415
-1.484 -0.713 -4.064
-2.773 -0.103 3.396
Zn Pm Tc
1 1 1
direct
0.167 0.000 0.000
0.667 0.333 0.667
0.167 0.667 0.333
```

Calculated values
Its volume is 21.03 Å³/atom. As for the density of states at the Fermi level: 2.8 states/eV/cell.

***

No. 20
Entry from Alexandria via LeMat-Bulk: Pm4ZnTc after structural relaxation (GGA-PBE).

Geometry as POSCAR:
```
Pm4ZnTc
1.0
-5.116 3.702 1.141
-3.466 -5.566 -4.092
1.545 -2.142 7.264
Pm Zn Tc
8 2 2
direct
0.410 0.787 0.628
0.462 0.721 0.065
0.090 0.372 0.213
0.590 0.213 0.372
0.538 0.279 0.935
0.038 0.935 0.279
0.910 0.628 0.787
0.962 0.065 0.721
0.750 0.626 0.374
0.250 0.374 0.626
0.250 0.999 0.001
0.750 0.001 0.999
```

Calculated values
Its volume is 28.32 Å³/atom. As for the density of states at the Fermi level: 12.3 states/eV/cell.

***

Listing DFT formation energy for the structures above in their given order: 0.10 -0.08 0.22 -0.07 -0.12 0.06 0.19 0.49 0.35 0.36 0.15 0.23 0.04 0.02 0.12 -0.03 -0.09 0.58 0.14 -0.11 eV per atom.